Entry 1:
First-principles (PBE) data for a relaxed structure of Tb6AsP2S3, as listed in the Alexandria database.

Structure (POSCAR):
```
Tb6AsP2S3
1.0
-1.529 -2.834 2.380
6.779 -4.198 -0.643
2.206 6.483 5.768
S Tb As P
3 6 1 2
Direct
0.500 0.500 0.000 S
0.834 0.167 0.668 S
0.166 0.833 0.332 S
0.002 0.254 0.005 Tb
0.668 0.091 0.336 Tb
0.332 0.909 0.664 Tb
0.669 0.579 0.338 Tb
0.998 0.746 0.995 Tb
0.331 0.421 0.662 Tb
0.500 0.000 0.000 As
0.167 0.334 0.334 P
0.833 0.666 0.666 P
```

Results
Crystal system ... monoclinic
Space-group type ... No. 12

---

Entry 2:
First-principles (PBE) data for a relaxed structure of Tb4AsPS2, as listed in the Alexandria database.

Structure (POSCAR):
```
Tb4AsPS2
1.0
4.018 0.000 0.000
0.000 6.930 -0.122
0.000 2.454 6.520
Tb S P As
4 2 1 1
Direct
0.500 0.745 0.257 Tb
0.000 0.251 0.255 Tb
0.500 0.255 0.743 Tb
0.000 0.749 0.745 Tb
0.000 0.000 0.000 S
0.500 0.000 0.500 S
0.000 0.500 0.500 P
0.500 0.500 0.000 As
```

Results
Crystal system ... monoclinic
Space-group type ... No. 10

---

Entry 3:
First-principles (PBE) data for a relaxed structure of Tb4AsP2S, as listed in the Alexandria database.

Structure (POSCAR):
```
Tb4AsP2S
1.0
4.034 0.000 0.000
0.000 6.993 -0.147
0.000 2.451 6.533
Tb P As S
4 2 1 1
Direct
0.000 0.757 0.747 Tb
0.500 0.758 0.247 Tb
0.000 0.243 0.253 Tb
0.500 0.242 0.753 Tb
0.500 0.000 0.500 P
0.000 0.000 0.000 P
0.500 0.500 0.000 As
0.000 0.500 0.500 S
```

Results
Crystal system ... monoclinic
Space-group type ... No. 10

---

Entry 4:
First-principles (PBE) data for a relaxed structure of TcAsP2S, as listed in the Alexandria database.

Structure (POSCAR):
```
TcAsP2S
1.0
-2.685 -3.804 -0.141
3.701 -2.649 0.990
-0.888 0.459 4.545
As P Tc S
1 2 1 1
Direct
0.000 0.000 0.000 As
0.500 0.000 0.000 P
0.000 0.500 0.000 P
0.500 0.500 0.500 Tc
0.000 0.000 0.500 S
```

Results
Crystal system ... tetragonal
Space-group type ... No. 123

---

Number 1: spin magnetization 0.0 μB per formula unit, formation energy from raw total energies -42.7 kcal/mol of atoms, theoretical density 7.24 g cm⁻³. Number 2: spin magnetization 0.0 μB per formula unit, formation energy from raw total energies -42.4 kcal/mol of atoms, theoretical density 7.32 g cm⁻³. Number 3: spin magnetization 0.0 μB per formula unit, formation energy from raw total energies -40.3 kcal/mol of atoms, theoretical density 7.19 g cm⁻³. Number 4: spin magnetization 2.9 μB per formula unit, formation energy from raw total energies 29.9 kcal/mol of atoms, theoretical density 4.39 g cm⁻³.